Entry 1:
Here is a relaxed structure of Cu2Mo4CN from OQMD via LeMat-Bulk. Energies are from GGA-PBE.

The structure in CIF format:
```
data_Cu2Mo4CN
_chemical_formula_sum 'Cu2 Mo4 C1 N1'
_cell_length_a 3.0990
_cell_length_b 3.0990
_cell_length_c 12.5689
_cell_angle_alpha 90.00
_cell_angle_beta 90.00
_cell_angle_gamma 120.00
_space_group_name_H-M_alt 'P -3 m 1'
_space_group_IT_number 164
_space_group_name_Hall '-P 3 2"'
loop_
_atom_site_label
_atom_site_type_symbol
_atom_site_fract_x
_atom_site_fract_y
_atom_site_fract_z
Cu1 Cu 0.3333 0.6667 0.2478
Mo1 Mo 0.3333 0.6667 0.5888
Mo2 Mo 0.3333 0.6667 0.9139
C1 C 0.0000 0.0000 0.5000
N1 N 0.0000 0.0000 0.0000
```

---

Entry 2:
Here is a relaxed structure of Nb2Cu3Mo4C3 from OQMD via LeMat-Bulk. Energies are from GGA-PBE.

The structure in CIF format:
```
data_Nb2Cu3Mo4C3
_chemical_formula_sum 'Nb8 Cu12 Mo16 C12'
_cell_length_a 9.191
_cell_length_b 5.303
_cell_length_c 13.452
_cell_angle_alpha 90.00
_cell_angle_beta 103.73
_cell_angle_gamma 90.00
_space_group_name_H-M_alt 'C 1 2/c 1'
_space_group_IT_number 15
_space_group_name_Hall '-C 2yc'
loop_
_atom_site_label
_atom_site_type_symbol
_atom_site_fract_x
_atom_site_fract_y
_atom_site_fract_z
Nb1 Nb 0.044 0.083 0.391
Cu1 Cu 0.000 0.430 0.750
Cu2 Cu 0.241 0.154 0.751
Mo1 Mo 0.112 0.413 0.583
Mo2 Mo 0.223 0.418 0.917
C1 C 0.081 0.241 0.000
C2 C 0.250 0.250 0.500
```

---

Entry 3:
Here is a relaxed structure of CuNiMo4C2 from OQMD via LeMat-Bulk. Energies are from GGA-PBE.

The structure in CIF format:
```
data_CuNiMo4C2
_chemical_formula_sum 'Cu1 Ni1 Mo4 C2'
_cell_length_a 3.0483
_cell_length_b 3.0483
_cell_length_c 12.7497
_cell_angle_alpha 90.00
_cell_angle_beta 90.00
_cell_angle_gamma 120.00
_space_group_name_H-M_alt 'P -6 m 2'
_space_group_IT_number 187
_space_group_name_Hall 'P -6 2'
loop_
_atom_site_label
_atom_site_type_symbol
_atom_site_fract_x
_atom_site_fract_y
_atom_site_fract_z
Cu1 Cu 0.0000 0.0000 0.0000
Ni1 Ni 0.6667 0.3333 0.5000
Mo1 Mo 0.0000 0.0000 0.3445
Mo2 Mo 0.6667 0.3333 0.1648
C1 C 0.3333 0.6667 0.2534
```

---

Total magnetic moment for the records above, in order: 0.000 0.008 0.038 μB per formula unit
Raw total energy for the records above, in order: -0.6170 -0.6287 -0.6442 Ry/atom